The following is a GGA-PBE calculation of a relaxed MnNiTe crystal, from Alexandria.

Geometry as extended XYZ:
```
12
Lattice="5.982 0.000 0.000 0.000 5.982 0.000 0.000 0.000 5.982" Properties=species:S:1:pos:R:3 pbc="T T T"
Mn 0.000 0.000 0.000
Mn 0.000 2.991 2.991
Mn 2.991 0.000 2.991
Mn 2.991 2.991 0.000
Ni 1.496 1.496 4.487
Ni 1.496 4.487 1.496
Ni 4.487 1.496 1.496
Ni 4.487 4.487 4.487
Te 1.496 1.496 1.496
Te 1.496 4.487 4.487
Te 4.487 1.496 4.487
Te 4.487 4.487 1.496
```

Output
relative energy among the computed polymorphs	67	kJ/mol of formula units
ρ	7.49	Mg/m³
E	-5.904	eV per atom
V	17.84	Å³/atom

The following is a GGA-PBE calculation of a relaxed TaReW2 crystal, from Alexandria.

Geometry as extended XYZ:
```
8
Lattice="3.182 0.000 0.000 0.000 4.522 0.000 0.000 0.000 9.050" Properties=species:S:1:pos:R:3 pbc="T T T"
Ta 0.000 0.000 0.000
Ta 1.591 2.261 4.525
Re 0.000 2.261 2.251
Re 1.591 0.000 6.776
W 0.000 0.000 4.529
W 0.000 2.261 6.816
W 1.591 0.000 2.291
W 1.591 2.261 0.004
```

Output
relative energy among the computed polymorphs	15	kJ/mol of formula units
ρ	18.74	Mg/m³
ΔH_f (0 K)	-112	meV/atom
E	-12.664	eV per atom
V	16.28	Å³/atom

The following is a GGA-PBE calculation of a relaxed CeNd2Zn2Ga2 crystal, from Alexandria.

Geometry as extended XYZ:
```
7
Lattice="2.259 1.304 9.457 -2.259 1.304 9.457 0.000 -2.609 9.457" Properties=species:S:1:pos:R:3 pbc="T T T"
Ce 0.000 0.000 0.000
Nd 0.000 0.000 3.550
Nd 0.000 0.000 24.822
Zn 0.000 0.000 11.162
Zn 0.000 0.000 17.210
Ga 0.000 0.000 7.637
Ga 0.000 0.000 20.735
```

Output
ρ	6.94	Mg/m³
ΔH_f (0 K)	-366	meV/atom
E	-3.805	eV per atom
V	23.89	Å³/atom